Record 1
Density functional theory data (PBE+U) for an optimized crystal structure of KLi2CoF6.

Summary:
magnetization: 0.0094 μB/atom
raw total energy: -4.61 eV per atom
ρ: 2.971 Mg/m³
density of states at the Fermi level: 0.000 states/eV per atom

Cell lengths 6.548, 6.548, 5.980 Å; angles 90.13, 90.13, 99.96 degrees
Fractional positions:
K 0.084 0.916 0.750
K 0.916 0.084 0.250
Li 0.250 0.457 0.664
Li 0.457 0.250 0.164
Li 0.543 0.750 0.836
Li 0.750 0.543 0.336
Co 0.300 0.700 0.250
Co 0.700 0.300 0.750
F 0.020 0.697 0.320
F 0.252 0.638 0.948
F 0.280 0.417 0.317
F 0.303 0.980 0.180
F 0.362 0.748 0.552
F 0.417 0.280 0.817
F 0.583 0.720 0.183
F 0.638 0.252 0.448
F 0.697 0.020 0.820
F 0.720 0.583 0.683
F 0.748 0.362 0.052
F 0.980 0.303 0.680

---

Record 2
Density functional theory data (PBE+U) for an optimized crystal structure of K3Li2CoF9.

Summary:
magnetization: 0.0717 μB/atom
raw total energy: -4.40 eV per atom
ρ: 2.947 Mg/m³
density of states at the Fermi level: 0.847 states/eV per atom

Cell lengths 5.744, 5.744, 7.122 Å; angles 90.00, 90.00, 120.00 degrees
Fractional positions:
K 0.000 0.000 0.000
K 0.333 0.667 0.686
K 0.667 0.333 0.314
Li 0.333 0.667 0.125
Li 0.667 0.333 0.875
Co 0.000 0.000 0.500
F 0.000 0.500 0.000
F 0.151 0.301 0.353
F 0.151 0.849 0.353
F 0.301 0.151 0.647
F 0.500 0.000 0.000
F 0.500 0.500 0.000
F 0.699 0.849 0.353
F 0.849 0.151 0.647
F 0.849 0.699 0.647

---

Record 3
Density functional theory data (PBE+U) for an optimized crystal structure of K2LiCoF6.

Summary:
magnetization: 0.0122 μB/atom
raw total energy: -4.57 eV per atom
ρ: 3.359 Mg/m³
density of states at the Fermi level: 0.000 states/eV per atom

Cell lengths 5.651, 5.651, 5.651 Å; angles 60.00, 60.00, 60.00 degrees
Fractional positions:
K 0.250 0.250 0.250
K 0.750 0.750 0.750
Li 0.000 0.000 0.000
Co 0.500 0.500 0.500
F 0.265 0.265 0.735
F 0.265 0.735 0.265
F 0.265 0.735 0.735
F 0.735 0.265 0.265
F 0.735 0.265 0.735
F 0.735 0.735 0.265

---

Record 4
Density functional theory data (PBE+U) for an optimized crystal structure of KLiCoF5.

Summary:
magnetization: 0.1233 μB/atom
raw total energy: -4.53 eV per atom
ρ: 2.997 Mg/m³
density of states at the Fermi level: 0.248 states/eV per atom

Cell lengths 5.825, 5.825, 7.468 Å; angles 103.80, 103.80, 107.26 degrees
Fractional positions:
K 0.167 0.833 0.750
K 0.833 0.167 0.250
Li 0.197 0.803 0.250
Li 0.803 0.197 0.750
Co 0.500 0.500 0.000
Co 0.500 0.500 0.500
F 0.156 0.284 0.911
F 0.228 0.600 0.412
F 0.284 0.156 0.411
F 0.400 0.772 0.088
F 0.451 0.549 0.750
F 0.549 0.451 0.250
F 0.600 0.228 0.912
F 0.716 0.844 0.589
F 0.772 0.400 0.588
F 0.844 0.716 0.089

---

Record 5
Density functional theory data (PBE+U) for an optimized crystal structure of K3Li3CoF8.

Summary:
magnetization: 0.2000 μB/atom
raw total energy: -4.56 eV per atom
ρ: 2.760 Mg/m³
density of states at the Fermi level: 0.000 states/eV per atom

Cell lengths 6.390, 6.390, 6.996 Å; angles 117.23, 117.23, 59.97 degrees
Fractional positions:
K 0.000 0.000 0.000
K 0.000 0.500 0.000
K 0.500 0.000 0.000
Li 0.000 0.500 0.500
Li 0.500 0.000 0.500
Li 0.500 0.500 0.500
Co 0.000 0.000 0.500
F 0.220 0.220 0.683
F 0.221 0.742 0.684
F 0.258 0.779 0.316
F 0.271 0.271 0.311
F 0.729 0.729 0.689
F 0.742 0.221 0.684
F 0.779 0.258 0.316
F 0.780 0.780 0.317

---

Record 6
Density functional theory data (PBE+U) for an optimized crystal structure of KLi2CoF8.

Summary:
magnetization: 0.0978 μB/atom
raw total energy: -4.19 eV per atom
ρ: 2.890 Mg/m³
density of states at the Fermi level: 0.178 states/eV per atom

Cell lengths 4.372, 4.828, 7.239 Å; angles 89.15, 82.96, 89.75 degrees
Fractional positions:
K 0.000 0.000 0.000
Li 0.473 0.492 0.703
Li 0.527 0.508 0.297
Co 0.000 0.000 0.500
F 0.194 0.821 0.672
F 0.251 0.298 0.504
F 0.253 0.848 0.309
F 0.274 0.491 0.982
F 0.726 0.509 0.018
F 0.747 0.152 0.691
F 0.749 0.702 0.496
F 0.806 0.179 0.328

---

Record 7
Density functional theory data (PBE+U) for an optimized crystal structure of K2MgCoF6.

Summary:
magnetization: 0.3000 μB/atom
raw total energy: -4.88 eV per atom
ρ: 3.354 Mg/m³
density of states at the Fermi level: 0.000 states/eV per atom

Cell lengths 5.775, 5.775, 5.775 Å; angles 119.93, 119.88, 90.16 degrees
Fractional positions:
K 0.249 0.249 0.000
K 0.751 0.751 0.000
Mg 0.000 0.500 0.500
Co 0.500 0.000 0.500
F 0.246 0.253 0.499
F 0.246 0.747 0.993
F 0.248 0.748 0.500
F 0.752 0.252 0.500
F 0.754 0.253 0.007
F 0.754 0.747 0.501

---

Record 8
Density functional theory data (PBE+U) for an optimized crystal structure of K2Mg3CoF12.

Summary:
magnetization: 0.0600 μB/atom
raw total energy: -4.74 eV per atom
ρ: 2.715 Mg/m³
density of states at the Fermi level: 0.641 states/eV per atom

Cell lengths 7.300, 7.300, 7.300 Å; angles 58.86, 58.86, 58.86 degrees
Fractional positions:
K 0.105 0.105 0.105
K 0.895 0.895 0.895
Mg 0.000 0.500 0.500
Mg 0.500 0.000 0.500
Mg 0.500 0.500 0.000
Co 0.500 0.500 0.500
F 0.171 0.171 0.571
F 0.171 0.571 0.171
F 0.202 0.565 0.565
F 0.429 0.829 0.829
F 0.435 0.435 0.798
F 0.435 0.798 0.435
F 0.565 0.202 0.565
F 0.565 0.565 0.202
F 0.571 0.171 0.171
F 0.798 0.435 0.435
F 0.829 0.429 0.829
F 0.829 0.829 0.429

---

Q: The highest ρ belongs to which entry?
A: K2LiCoF6

---

Q: Which formula does entry 3 have?
A: K2LiCoF6